Density functional theory data (PBE) for an optimized crystal structure of InTeS3.

Cell: 5.1085 5.1085 5.1085 Å, 90.00 90.00 90.00°
Element x y z (fractional)
S (0.0000, 0.5000, 0.0000)
S (0.0000, 0.0000, 0.5000)
S (0.5000, 0.0000, 0.0000)
Te (0.0000, 0.0000, 0.0000)
In (0.5000, 0.5000, 0.5000)

Calculated values
Total DFT energy (no corrections), eV per atom: -3.375
Formation energy without anion corrections, eV per atom: 0.277
SG: Pm-3m (221)
Mass density, kg/m3: 4218
Size of the total moment, μB/f.u.: 0.00
E above lowest polymorph, meV/atom: 450